Record 1
Here is an optimized crystal structure of IrAuS2O8 from Alexandria via LeMat-Bulk. Energies are from PBE-GGA.

Cell lengths 4.8963, 4.8963, 8.2036 Å; angles 97.71, 97.71, 64.84 degrees
Fractional positions:
Ir (0.0000, 0.0000, 0.0000)
Au (0.0000, 0.0000, 0.5000)
S (0.3273, 0.3273, 0.8065)
S (0.6727, 0.6727, 0.1935)
O (0.2039, 0.6682, 0.8169)
O (0.2330, 0.2330, 0.6387)
O (0.2349, 0.2349, 0.9475)
O (0.3318, 0.7961, 0.1831)
O (0.6682, 0.2039, 0.8169)
O (0.7651, 0.7651, 0.0525)
O (0.7670, 0.7670, 0.3613)
O (0.7961, 0.3318, 0.1831)

magnetic moment = 0.0 Bohr magnetons per cell
space group = No. 12
energy = -5.8209 eV/atom

Record 2
Here is an optimized crystal structure of Cs2TaHgBr6 from Alexandria via LeMat-Bulk. Energies are from PBE-GGA.

Cell lengths 7.6814, 11.6662, 10.4885 Å; angles 90.00, 90.00, 90.00 degrees
Fractional positions:
Cs (0.2500, 0.0181, 0.1758)
Cs (0.2500, 0.4819, 0.1758)
Cs (0.7500, 0.5181, 0.8242)
Cs (0.7500, 0.9819, 0.8242)
Ta (0.2500, 0.7500, 0.8280)
Ta (0.7500, 0.2500, 0.1720)
Hg (0.2500, 0.2500, 0.6491)
Hg (0.7500, 0.7500, 0.3509)
Br (0.0105, 0.7500, 0.6574)
Br (0.0154, 0.7500, 0.0079)
Br (0.2500, 0.5273, 0.8280)
Br (0.2500, 0.9727, 0.8280)
Br (0.4846, 0.7500, 0.0079)
Br (0.4895, 0.7500, 0.6574)
Br (0.5105, 0.2500, 0.3426)
Br (0.5154, 0.2500, 0.9921)
Br (0.7500, 0.0273, 0.1720)
Br (0.7500, 0.4727, 0.1720)
Br (0.9846, 0.2500, 0.9921)
Br (0.9895, 0.2500, 0.3426)

magnetic moment = 2.0 Bohr magnetons per cell
space group = No. 59
energy = -3.5416 eV/atom

Record 3
Here is an optimized crystal structure of PrCu2Pt8 from Alexandria via LeMat-Bulk. Energies are from PBE-GGA.

Cell lengths 5.2581, 5.2581, 8.4429 Å; angles 90.00, 90.00, 90.00 degrees
Fractional positions:
Pr (0.0000, 0.0000, 0.0000)
Cu (0.0000, 0.5000, 0.5000)
Cu (0.5000, 0.0000, 0.5000)
Pt (0.2524, 0.2524, 0.2820)
Pt (0.2524, 0.2524, 0.7180)
Pt (0.2524, 0.7476, 0.2820)
Pt (0.2524, 0.7476, 0.7180)
Pt (0.7476, 0.2524, 0.2820)
Pt (0.7476, 0.2524, 0.7180)
Pt (0.7476, 0.7476, 0.2820)
Pt (0.7476, 0.7476, 0.7180)

magnetic moment = 0.0 Bohr magnetons per cell
space group = No. 123
formation energy = 79 meV per atom